First-principles (PBE-GGA) data for an optimized crystal structure of HoEr2Os, as listed in Alexandria via LeMat-Bulk.

Properties
E = -104.1 eV for the cell shown
ΔE to the lowest computed polymorph = 0.076 eV per formula unit
Density = 11.0 g/cm3
M_tot = 0.00 μB per formula unit
Energy of formation from the pure elements = -270 meV/atom

The structure in CIF format:
```
data_HoEr2Os
_cell_length_a 3.965
_cell_length_b 11.760
_cell_length_c 8.909
_cell_angle_alpha 90.00
_cell_angle_beta 90.00
_cell_angle_gamma 90.00
_symmetry_space_group_name_H-M 'C m c m'
_symmetry_Int_Tables_number 63
_symmetry_space_group_name_Hall '-C 2c 2'
loop_
_atom_site_label
_atom_site_type_symbol
_atom_site_fract_x
_atom_site_fract_y
_atom_site_fract_z
_atom_site_occupancy
Ho1 Ho 0.000 0.074 0.250 1
Er1 Er 0.000 0.355 0.065 1
Os1 Os 0.000 0.258 0.750 1
```

First-principles (PBE-GGA) data for an optimized crystal structure of HoEr2Os, as listed in Alexandria via LeMat-Bulk.

Properties
E = -25.5 eV for the cell shown
ΔE to the lowest computed polymorph = 0.592 eV per formula unit
Density = 11.0 g/cm3
M_tot = 0.00 μB per formula unit
Energy of formation from the pure elements = -141 meV/atom

The structure in CIF format:
```
data_HoEr2Os
_cell_length_a 3.373
_cell_length_b 3.373
_cell_length_c 9.117
_cell_angle_alpha 90.00
_cell_angle_beta 90.00
_cell_angle_gamma 90.00
_symmetry_space_group_name_H-M 'P 4/m m m'
_symmetry_Int_Tables_number 123
_symmetry_space_group_name_Hall '-P 4 2'
loop_
_atom_site_label
_atom_site_type_symbol
_atom_site_fract_x
_atom_site_fract_y
_atom_site_fract_z
_atom_site_occupancy
Ho1 Ho 0.000 0.000 0.000 1
Er1 Er 0.500 0.500 0.319 1
Os1 Os 0.000 0.000 0.500 1
```

First-principles (PBE-GGA) data for an optimized crystal structure of Ho4ErOs2, as listed in Alexandria via LeMat-Bulk.

Properties
E = -93.3 eV for the cell shown
Density = 11.3 g/cm3
M_tot = 0.00 μB per formula unit
Energy of formation from the pure elements = -191 meV/atom

The structure in CIF format:
```
data_Ho4ErOs2
_cell_length_a 7.781
_cell_length_b 6.237
_cell_length_c 7.869
_cell_angle_alpha 90.00
_cell_angle_beta 112.17
_cell_angle_gamma 90.00
_symmetry_space_group_name_H-M 'P 1 21/m 1'
_symmetry_Int_Tables_number 11
_symmetry_space_group_name_Hall '-P 2yb'
loop_
_atom_site_label
_atom_site_type_symbol
_atom_site_fract_x
_atom_site_fract_y
_atom_site_fract_z
_atom_site_occupancy
Ho1 Ho 0.121 0.250 0.480 1
Ho2 Ho 0.174 0.750 0.251 1
Ho3 Ho 0.261 0.502 0.919 1
Er1 Er 0.472 0.250 0.340 1
Os1 Os 0.086 0.250 0.123 1
Os2 Os 0.475 0.250 0.753 1
```

First-principles (PBE-GGA) data for an optimized crystal structure of HoEr2Os, as listed in Alexandria via LeMat-Bulk.

Properties
E = -71.8 eV for the cell shown
ΔE to the lowest computed polymorph = 2.149 eV per formula unit
Density = 10.6 g/cm3
M_tot = 0.47 μB per formula unit
Energy of formation from the pure elements = 248 meV/atom

The structure in CIF format:
```
data_HoEr2Os
_cell_length_a 3.3968
_cell_length_b 3.3968
_cell_length_c 32.4107
_cell_angle_alpha 90.00
_cell_angle_beta 90.00
_cell_angle_gamma 120.00
_symmetry_space_group_name_H-M 'R -3 m'
_symmetry_Int_Tables_number 166
_symmetry_space_group_name_Hall '-R 3 2"'
loop_
_atom_site_label
_atom_site_type_symbol
_atom_site_fract_x
_atom_site_fract_y
_atom_site_fract_z
_atom_site_occupancy
Ho1 Ho 0.0000 0.0000 0.0000 1
Er1 Er 0.0000 0.0000 0.1048 1
Os1 Os 0.0000 0.0000 0.5000 1
```

First-principles (PBE-GGA) data for an optimized crystal structure of Ho2ErOs, as listed in Alexandria via LeMat-Bulk.

Properties
E = -25.4 eV for the cell shown
ΔE to the lowest computed polymorph = 0.671 eV per formula unit
Density = 10.9 g/cm3
M_tot = 0.00 μB per formula unit
Energy of formation from the pure elements = -114 meV/atom

The structure in CIF format:
```
data_Ho2ErOs
_cell_length_a 3.379
_cell_length_b 3.379
_cell_length_c 9.181
_cell_angle_alpha 90.00
_cell_angle_beta 90.00
_cell_angle_gamma 90.00
_symmetry_space_group_name_H-M 'P 4/m m m'
_symmetry_Int_Tables_number 123
_symmetry_space_group_name_Hall '-P 4 2'
loop_
_atom_site_label
_atom_site_type_symbol
_atom_site_fract_x
_atom_site_fract_y
_atom_site_fract_z
_atom_site_occupancy
Ho1 Ho 0.000 0.000 0.181 1
Er1 Er 0.500 0.500 0.500 1
Os1 Os 0.500 0.500 0.000 1
```

First-principles (PBE-GGA) data for an optimized crystal structure of HoEr2Os, as listed in Alexandria via LeMat-Bulk.

Properties
E = -104.4 eV for the cell shown
ΔE to the lowest computed polymorph = 0.000 eV per formula unit
Density = 11.1 g/cm3
M_tot = 0.00 μB per formula unit
Energy of formation from the pure elements = -289 meV/atom

The structure in CIF format:
```
data_HoEr2Os
_cell_length_a 7.372
_cell_length_b 8.959
_cell_length_c 6.269
_cell_angle_alpha 90.00
_cell_angle_beta 90.00
_cell_angle_gamma 90.00
_symmetry_space_group_name_H-M 'P n m a'
_symmetry_Int_Tables_number 62
_symmetry_space_group_name_Hall '-P 2ac 2n'
loop_
_atom_site_label
_atom_site_type_symbol
_atom_site_fract_x
_atom_site_fract_y
_atom_site_fract_z
_atom_site_occupancy
Ho1 Ho 0.039 0.250 0.128 1
Er1 Er 0.174 0.062 0.666 1
Os1 Os 0.117 0.750 0.460 1
```

First-principles (PBE-GGA) data for an optimized crystal structure of Ho2ErOs, as listed in Alexandria via LeMat-Bulk.

Properties
E = -104.0 eV for the cell shown
ΔE to the lowest computed polymorph = 0.075 eV per formula unit
Density = 11.0 g/cm3
M_tot = 0.00 μB per formula unit
Energy of formation from the pure elements = -263 meV/atom

The structure in CIF format:
```
data_Ho2ErOs
_cell_length_a 3.976
_cell_length_b 11.740
_cell_length_c 8.930
_cell_angle_alpha 90.00
_cell_angle_beta 90.00
_cell_angle_gamma 90.00
_symmetry_space_group_name_H-M 'C m c m'
_symmetry_Int_Tables_number 63
_symmetry_space_group_name_Hall '-C 2c 2'
loop_
_atom_site_label
_atom_site_type_symbol
_atom_site_fract_x
_atom_site_fract_y
_atom_site_fract_z
_atom_site_occupancy
Ho1 Ho 0.000 0.144 0.065 1
Er1 Er 0.000 0.425 0.250 1
Os1 Os 0.000 0.241 0.750 1
```

First-principles (PBE-GGA) data for an optimized crystal structure of Ho2ErOs, as listed in Alexandria via LeMat-Bulk.

Properties
E = -71.7 eV for the cell shown
ΔE to the lowest computed polymorph = 2.182 eV per formula unit
Density = 10.5 g/cm3
M_tot = 0.49 μB per formula unit
Energy of formation from the pure elements = 263 meV/atom

The structure in CIF format:
```
data_Ho2ErOs
_cell_length_a 3.4111
_cell_length_b 3.4111
_cell_length_c 32.3732
_cell_angle_alpha 90.00
_cell_angle_beta 90.00
_cell_angle_gamma 120.00
_symmetry_space_group_name_H-M 'R -3 m'
_symmetry_Int_Tables_number 166
_symmetry_space_group_name_Hall '-R 3 2"'
loop_
_atom_site_label
_atom_site_type_symbol
_atom_site_fract_x
_atom_site_fract_y
_atom_site_fract_z
_atom_site_occupancy
Ho1 Ho 0.0000 0.0000 0.1047 1
Er1 Er 0.0000 0.0000 0.0000 1
Os1 Os 0.0000 0.0000 0.5000 1
```

First-principles (PBE-GGA) data for an optimized crystal structure of Ho2ErOs, as listed in Alexandria via LeMat-Bulk.

Properties
E = -104.3 eV for the cell shown
ΔE to the lowest computed polymorph = 0.000 eV per formula unit
Density = 11.0 g/cm3
M_tot = 0.00 μB per formula unit
Energy of formation from the pure elements = -282 meV/atom

The structure in CIF format:
```
data_Ho2ErOs
_cell_length_a 7.368
_cell_length_b 8.997
_cell_length_c 6.282
_cell_angle_alpha 90.00
_cell_angle_beta 90.00
_cell_angle_gamma 90.00
_symmetry_space_group_name_H-M 'P n m a'
_symmetry_Int_Tables_number 62
_symmetry_space_group_name_Hall '-P 2ac 2n'
loop_
_atom_site_label
_atom_site_type_symbol
_atom_site_fract_x
_atom_site_fract_y
_atom_site_fract_z
_atom_site_occupancy
Ho1 Ho 0.175 0.062 0.168 1
Er1 Er 0.039 0.250 0.629 1
Os1 Os 0.117 0.750 0.962 1
```

First-principles (PBE-GGA) data for an optimized crystal structure of HoErOsPt, as listed in Alexandria via LeMat-Bulk.

Properties
E = -116.9 eV for the cell shown
Density = 14.9 g/cm3
M_tot = 0.00 μB per formula unit
Energy of formation from the pure elements = -702 meV/atom

The structure in CIF format:
```
data_HoErOsPt
_cell_length_a 6.841
_cell_length_b 6.841
_cell_length_c 6.841
_cell_angle_alpha 90.00
_cell_angle_beta 90.00
_cell_angle_gamma 90.00
_symmetry_space_group_name_H-M 'F -4 3 m'
_symmetry_Int_Tables_number 216
_symmetry_space_group_name_Hall 'F -4 2 3'
loop_
_atom_site_label
_atom_site_type_symbol
_atom_site_fract_x
_atom_site_fract_y
_atom_site_fract_z
_atom_site_occupancy
Ho1 Ho 0.000 0.000 0.000 1
Er1 Er 0.000 0.000 0.500 1
Os1 Os 0.250 0.250 0.750 1
Pt1 Pt 0.250 0.250 0.250 1
```

First-principles (PBE-GGA) data for an optimized crystal structure of HoErOsRh, as listed in Alexandria via LeMat-Bulk.

Properties
E = -119.3 eV for the cell shown
Density = 13.3 g/cm3
M_tot = 0.00 μB per formula unit
Energy of formation from the pure elements = -528 meV/atom

The structure in CIF format:
```
data_HoErOsRh
_cell_length_a 6.785
_cell_length_b 6.785
_cell_length_c 6.785
_cell_angle_alpha 90.00
_cell_angle_beta 90.00
_cell_angle_gamma 90.00
_symmetry_space_group_name_H-M 'F -4 3 m'
_symmetry_Int_Tables_number 216
_symmetry_space_group_name_Hall 'F -4 2 3'
loop_
_atom_site_label
_atom_site_type_symbol
_atom_site_fract_x
_atom_site_fract_y
_atom_site_fract_z
_atom_site_occupancy
Ho1 Ho 0.000 0.000 0.000 1
Er1 Er 0.000 0.000 0.500 1
Os1 Os 0.250 0.250 0.750 1
Rh1 Rh 0.250 0.250 0.250 1
```

First-principles (PBE-GGA) data for an optimized crystal structure of HoErOsRu, as listed in Alexandria via LeMat-Bulk.

Properties
E = -122.2 eV for the cell shown
Density = 13.4 g/cm3
M_tot = 0.00 μB per formula unit
Energy of formation from the pure elements = -223 meV/atom

The structure in CIF format:
```
data_HoErOsRu
_cell_length_a 6.764
_cell_length_b 6.764
_cell_length_c 6.764
_cell_angle_alpha 90.00
_cell_angle_beta 90.00
_cell_angle_gamma 90.00
_symmetry_space_group_name_H-M 'F -4 3 m'
_symmetry_Int_Tables_number 216
_symmetry_space_group_name_Hall 'F -4 2 3'
loop_
_atom_site_label
_atom_site_type_symbol
_atom_site_fract_x
_atom_site_fract_y
_atom_site_fract_z
_atom_site_occupancy
Ho1 Ho 0.000 0.000 0.000 1
Er1 Er 0.000 0.000 0.500 1
Os1 Os 0.250 0.250 0.250 1
Ru1 Ru 0.250 0.250 0.750 1
```